## HoNiC2O8 (GGA+U)

Data for HoNiC2O8 after structural relaxation.

Summary:
Total magnetic moment   5.0 Bohr magnetons per cell
DFT total energy   -79.33 eV per formula unit

abc: 5.0744 5.0744 6.0050
angles: 90.00 90.00 120.00
Space group P-3m1 (No. 164)
Asymmetric unit:
Ho1 0.0000 0.0000 0.0000 (multiplicity 1)
Ni1 0.0000 0.0000 0.5000 (multiplicity 1)
C1 0.3333 0.6667 0.6696 (multiplicity 2)
O1 0.1830 0.3659 0.7413 (multiplicity 6)
O2 0.3333 0.6667 0.4399 (multiplicity 2)